! GGA-PBE Na3LiPb2O6, optimized geometry; values from VASP
&SYSTEM
  ibrav = 0, nat = 12, ntyp = 4
/
ATOMIC_SPECIES
Na 22.99 Na.upf
Li 6.94 Li.upf
Pb 207.20 Pb.upf
O 16.00 O.upf
ATOMIC_POSITIONS crystal
Na 0.1590 0.8410 0.5000
Na 0.8410 0.1590 0.5000
Na 0.5000 0.5000 0.5000
Li 0.0000 0.0000 0.0000
Pb 0.3329 0.6671 0.0000
Pb 0.6671 0.3329 0.0000
O 0.9264 0.5806 0.7802
O 0.7278 0.7278 0.2191
O 0.0736 0.4194 0.2198
O 0.5806 0.9264 0.7802
O 0.2722 0.2722 0.7809
O 0.4194 0.0736 0.2198
CELL_PARAMETERS angstrom
-0.1784 -5.0994 2.5538
5.0102 2.2299 -1.5760
-1.1404 3.4208 4.6381
! Raw formation energy ... -1.364 eV per atom